VASP calculation (PBE+U) on a relaxed KVSbO6 crystal.

Computed properties:
space group = P312 (149)
DFT total energy = -6.1630 eV per atom
density = 3.6 g/cm³
calculated volume = 16.0 A^3/atom

a = 5.3149 Å, b = 5.3149 Å, c = 5.8810 Å
α = 90.00°, β = 90.00°, γ = 120.00°
Element x y z (fractional)
K1 0.0000 0.0000 0.0000
V1 0.6667 0.3333 0.5000
Sb1 0.3333 0.6667 0.5000
O1 0.4047 0.0148 0.6841
O2 0.4047 0.3899 0.3159
O3 0.6101 0.0148 0.3159
O4 0.6101 0.5953 0.6841
O5 0.9852 0.3899 0.6841
O6 0.9852 0.5953 0.3159